No. 1
## KTh3Be (PBE)

Data for a relaxed KTh3Be crystal.

Results
Uncorrected energy = -23.52 eV/cell
SG = No. 221

a b c (Å): 5.4999 5.4999 5.4999
angles (deg): 90.00 90.00 90.00
Fractional coordinates of all 5 atoms:
Be (0.5000, 0.5000, 0.5000)
Th (0.5000, 0.0000, 0.5000)
Th (0.0000, 0.5000, 0.5000)
Th (0.5000, 0.5000, 0.0000)
K (0.0000, 0.0000, 0.0000)

No. 2
## KRb2Au2 (PBE)

Data for a relaxed KRb2Au2 crystal.

Results
Energy above the lowest structure with this stoichiometry = 98 meV/atom
Uncorrected energy = -10.38 eV/cell
SG = No. 139

a b c (Å): 8.1879 8.1879 8.1879
angles (deg): 141.19 141.19 56.05
Fractional coordinates of all 5 atoms:
Au (0.4032, 0.4032, 0.0000)
Au (0.5968, 0.5968, 0.0000)
Rb (0.7500, 0.2500, 0.5000)
Rb (0.2500, 0.7500, 0.5000)
K (0.0000, 0.0000, 0.0000)

No. 3
## ThPa2Ni9 (PBE)

Data for a relaxed ThPa2Ni9 crystal.

Results
Formation energy = -0.443 eV per atom
Uncorrected energy = -81.83 eV/cell
SG = No. 166

a b c (Å): 8.7248 8.7248 8.7248
angles (deg): 32.76 32.76 32.76
Fractional coordinates of all 12 atoms:
Ni (0.4162, 0.4162, 0.9167)
Ni (0.6669, 0.6669, 0.6669)
Ni (0.3331, 0.3331, 0.3331)
Ni (0.9167, 0.4162, 0.4162)
Ni (0.4162, 0.9167, 0.4162)
Ni (0.5838, 0.0833, 0.5838)
Ni (0.5000, 0.5000, 0.5000)
Ni (0.5838, 0.5838, 0.0833)
Ni (0.0833, 0.5838, 0.5838)
Pa (0.8597, 0.8597, 0.8597)
Pa (0.1403, 0.1403, 0.1403)
Th (0.0000, 0.0000, 0.0000)

No. 4
## Hf3Si2Ni4Ge2 (PBE)

Data for a relaxed Hf3Si2Ni4Ge2 crystal.

Results
Energy above the lowest structure with this stoichiometry = 0 meV/atom
Uncorrected energy = -80.89 eV/cell
SG = No. 71

a b c (Å): 7.4205 7.4205 7.4205
angles (deg): 149.80 128.60 60.78
Fractional coordinates of all 11 atoms:
Hf (0.3712, 0.3712, 0.0000)
Hf (0.6288, 0.6288, 0.0000)
Hf (0.0000, 0.5000, 0.5000)
Ge (0.7007, 0.0000, 0.7007)
Ge (0.2993, 0.0000, 0.2993)
Ni (0.6212, 0.8199, 0.8013)
Ni (0.9814, 0.1801, 0.8013)
Ni (0.0186, 0.8199, 0.1987)
Ni (0.3788, 0.1801, 0.1987)
Si (0.7863, 0.2863, 0.5000)
Si (0.2137, 0.7137, 0.5000)

No. 5
## CoCuSnMo (PBE)

Data for a relaxed CoCuSnMo crystal.

Results
Energy above the lowest structure with this stoichiometry = 0 meV/atom
Uncorrected energy = -24.66 eV/cell
SG = No. 216

a b c (Å): 4.3592 4.3592 4.3592
angles (deg): 60.00 60.00 60.00
Fractional coordinates of all 4 atoms:
Sn (0.0000, 0.0000, 0.0000)
Mo (0.5000, 0.5000, 0.5000)
Cu (0.2500, 0.2500, 0.2500)
Co (0.7500, 0.7500, 0.7500)

No. 6
## GdBeB4 (PBE)

Data for a relaxed GdBeB4 crystal.

Results
Energy above the lowest structure with this stoichiometry = 110 meV/atom
Uncorrected energy = -35.08 eV/cell
SG = No. 71

a b c (Å): 4.9034 4.9034 4.9034
angles (deg): 142.34 115.83 76.86
Fractional coordinates of all 6 atoms:
B (0.4164, 0.7419, 0.6744)
B (0.5836, 0.2581, 0.3256)
B (0.9325, 0.2581, 0.6744)
B (0.0675, 0.7419, 0.3256)
Gd (0.0000, 0.0000, 0.0000)
Be (0.5000, 0.5000, 0.0000)

No. 7
## NaTePtAu (PBE)

Data for a relaxed NaTePtAu crystal.

Results
Energy above the lowest structure with this stoichiometry = 37 meV/atom
Uncorrected energy = -14.04 eV/cell
SG = No. 216

a b c (Å): 4.8234 4.8234 4.8234
angles (deg): 60.00 60.00 60.00
Fractional coordinates of all 4 atoms:
Te (0.2500, 0.2500, 0.2500)
Pt (0.5000, 0.5000, 0.5000)
Na (0.7500, 0.7500, 0.7500)
Au (0.0000, 0.0000, 0.0000)

No. 8
## TbHf (PBE)

Data for a relaxed TbHf crystal.

Results
Formation energy = 0.182 eV per atom
Uncorrected energy = -14.22 eV/cell
SG = No. 187

a b c (Å): 3.3520 3.3520 5.3926
angles (deg): 90.00 90.00 120.00
Fractional coordinates of all 2 atoms:
Tb (0.3333, 0.6667, 0.2500)
Hf (0.6667, 0.3333, 0.7500)

No. 9
## CsKU (PBE)

Data for a relaxed CsKU crystal.

Results
Energy above the lowest structure with this stoichiometry = 0 meV/atom
Uncorrected energy = -7.80 eV/cell
SG = No. 216

a b c (Å): 6.6922 6.6922 6.6922
angles (deg): 60.00 60.00 60.00
Each line ends with the local moment (μB).
Fractional coordinates of all 3 atoms:
U (0.0000, 0.0000, 0.0000)  3.75
K (0.7500, 0.7500, 0.7500)  0.04
Cs (0.2500, 0.2500, 0.2500)  0.06

No. 10
## AlCuMoOs (PBE)

Data for a relaxed AlCuMoOs crystal.

Results
Energy above the lowest structure with this stoichiometry = 0 meV/atom
Uncorrected energy = -29.99 eV/cell
SG = No. 216

a b c (Å): 4.3088 4.3088 4.3088
angles (deg): 60.00 60.00 60.00
Fractional coordinates of all 4 atoms:
Cu (0.7500, 0.7500, 0.7500)
Os (0.2500, 0.2500, 0.2500)
Al (0.5000, 0.5000, 0.5000)
Mo (0.0000, 0.0000, 0.0000)

No. 11
## Sc5Ir4Os (PBE)

Data for a relaxed Sc5Ir4Os crystal.

Results
Formation energy = -0.911 eV per atom
Uncorrected energy = -87.39 eV/cell
SG = No. 123

a b c (Å): 3.2153 3.2153 16.1365
angles (deg): 90.00 90.00 90.00
Fractional coordinates of all 10 atoms:
Sc (0.5000, 0.5000, 0.0970)
Sc (0.5000, 0.5000, 0.9030)
Sc (0.5000, 0.5000, 0.2983)
Sc (0.5000, 0.5000, 0.5000)
Sc (0.5000, 0.5000, 0.7017)
Ir (0.0000, 0.0000, 0.4000)
Ir (0.0000, 0.0000, 0.7995)
Ir (0.0000, 0.0000, 0.2005)
Ir (0.0000, 0.0000, 0.6000)
Os (0.0000, 0.0000, 0.0000)

No. 12
## BaErAgTeS2 (PBE)

Data for a relaxed BaErAgTeS2 crystal.

Results
Uncorrected energy = -58.69 eV/cell
SG = No. 63

a b c (Å): 7.7598 7.7598 11.0462
angles (deg): 90.00 90.00 148.94
Fractional coordinates of all 12 atoms:
S (0.8840, 0.1160, 0.4370)
S (0.8840, 0.1160, 0.0630)
S (0.1160, 0.8840, 0.9370)
S (0.1160, 0.8840, 0.5630)
Er (0.5000, 0.5000, 0.5000)
Er (0.5000, 0.5000, 0.0000)
Ag (0.9815, 0.0185, 0.2500)
Ag (0.0185, 0.9815, 0.7500)
Ba (0.7140, 0.2860, 0.7500)
Ba (0.2860, 0.7140, 0.2500)
Te (0.6023, 0.3977, 0.2500)
Te (0.3977, 0.6023, 0.7500)

No. 13
## Ba3PaP (PBE)

Data for a relaxed Ba3PaP crystal.

Results
Uncorrected energy = -40.40 eV/cell
SG = No. 167

a b c (Å): 7.4004 7.4004 7.4004
angles (deg): 96.48 96.48 96.48
Each line ends with the local moment (μB).
Fractional coordinates of all 10 atoms:
Ba (0.4560, 0.7500, 0.0440)  0.01
Ba (0.9560, 0.5440, 0.2500)  0.01
Ba (0.2500, 0.9560, 0.5440)  0.01
Ba (0.5440, 0.2500, 0.9560)  0.01
Ba (0.7500, 0.0440, 0.4560)  0.01
Ba (0.0440, 0.4560, 0.7500)  0.01
Pa (0.5000, 0.5000, 0.5000)  0.89
Pa (0.0000, 0.0000, 0.0000)  0.89
P (0.2500, 0.2500, 0.2500)  -0.03
P (0.7500, 0.7500, 0.7500)  -0.03

No. 14
## NaCoPd (PBE)

Data for a relaxed NaCoPd crystal.

Results
Energy above the lowest structure with this stoichiometry = 476 meV/atom
Uncorrected energy = -10.19 eV/cell
SG = No. 216

a b c (Å): 4.2767 4.2767 4.2767
angles (deg): 60.00 60.00 60.00
Fractional coordinates of all 3 atoms:
Co (0.2500, 0.2500, 0.2500)
Pd (0.7500, 0.7500, 0.7500)
Na (0.0000, 0.0000, 0.0000)

No. 15
## GdAl3 (PBE)

Data for a relaxed GdAl3 crystal.

Results
Uncorrected energy = -35.34 eV/cell
SG = No. 194

a b c (Å): 6.3499 6.3499 4.5937
angles (deg): 90.00 90.00 120.00
Fractional coordinates of all 8 atoms:
Al (0.1878, 0.8122, 0.5000)
Al (0.1878, 0.3756, 0.5000)
Al (0.6244, 0.8122, 0.5000)
Al (0.0432, 0.5216, 0.0000)
Al (0.4784, 0.5216, 0.0000)
Al (0.4784, 0.9568, 0.0000)
Gd (0.6667, 0.3333, 0.5000)
Gd (0.0000, 0.0000, 0.0000)

No. 16
## Sc2ZnIr (PBE)

Data for a relaxed Sc2ZnIr crystal.

Results
Energy above the lowest structure with this stoichiometry = 5 meV/atom
Formation energy = -0.722 eV per atom
Uncorrected energy = -25.66 eV/cell
SG = No. 123

a b c (Å): 3.2228 3.2228 6.8158
angles (deg): 90.00 90.00 90.00
Fractional coordinates of all 4 atoms:
Ir (0.0000, 0.0000, 0.0000)
Zn (0.0000, 0.0000, 0.5000)
Sc (0.5000, 0.5000, 0.7611)
Sc (0.5000, 0.5000, 0.2389)

No. 17
## Nd2ErMg3Pt2Au (PBE)

Data for a relaxed Nd2ErMg3Pt2Au crystal.

Results
Uncorrected energy = -41.64 eV/cell
SG = No. 38

a b c (Å): 4.0892 7.5338 7.5338
angles (deg): 119.74 90.00 90.00
Fractional coordinates of all 9 atoms:
Mg (0.5000, 0.7494, 0.7494)
Mg (0.5000, 0.0037, 0.2495)
Mg (0.5000, 0.2495, 0.0037)
Pt (0.5000, 0.6570, 0.3357)
Pt (0.5000, 0.3357, 0.6570)
Nd (0.0000, 0.5827, 0.0005)
Nd (0.0000, 0.0005, 0.5827)
Au (0.0000, 0.0063, 0.0063)
Er (0.0000, 0.4152, 0.4152)

No. 18
## RbBeIrW (PBE)

Data for a relaxed RbBeIrW crystal.

Results
Energy above the lowest structure with this stoichiometry = 616 meV/atom
Uncorrected energy = -18.45 eV/cell
SG = No. 216

a b c (Å): 4.5386 4.5386 4.5386
angles (deg): 60.00 60.00 60.00
Fractional coordinates of all 4 atoms:
Rb (0.2500, 0.2500, 0.2500)
Ir (0.5000, 0.5000, 0.5000)
W (0.0000, 0.0000, 0.0000)
Be (0.7500, 0.7500, 0.7500)

No. 19
## BiPd17 (PBE)

Data for a relaxed BiPd17 crystal.

Results
Uncorrected energy = -183.72 eV/cell
SG = No. 11

a b c (Å): 4.8120 5.5761 32.8490
angles (deg): 90.00 90.06 90.00
Fractional coordinates of all 36 atoms:
Pd (0.5029, 0.2500, 0.7927)
Pd (0.5004, 0.7500, 0.7934)
Pd (0.1684, 0.7500, 0.8624)
Pd (0.1666, 0.2500, 0.0689)
Pd (0.5008, 0.7500, 0.0000)
Pd (0.6662, 0.9997, 0.0688)
Pd (0.1660, 0.7500, 0.0686)
Pd (0.8340, 0.2500, 0.9314)
Pd (0.6685, 0.0005, 0.8623)
Pd (0.3315, 0.5005, 0.1377)
Pd (0.1673, 0.2500, 0.8621)
Pd (0.4996, 0.2500, 0.2066)
Pd (0.3319, 0.9952, 0.7229)
Pd (0.4992, 0.2500, 0.0000)
Pd (0.8327, 0.7500, 0.1379)
Pd (0.8303, 0.7500, 0.7230)
Pd (0.8316, 0.2500, 0.1376)
Pd (0.6685, 0.4995, 0.8623)
Pd (0.6662, 0.5003, 0.0688)
Pd (0.3319, 0.5048, 0.7229)
Pd (0.3338, 0.0003, 0.9312)
Pd (0.8334, 0.7500, 0.9311)
Pd (0.9989, 0.9996, 0.2072)
Pd (0.3315, 0.9995, 0.1377)
Pd (0.4971, 0.7500, 0.2073)
Pd (0.9989, 0.5004, 0.2072)
Pd (0.0011, 0.4996, 0.7928)
Pd (0.0011, 0.0004, 0.7928)
Pd (0.3338, 0.4997, 0.9312)
Pd (0.0000, 0.5000, 0.0000)
Pd (0.6681, 0.4952, 0.2771)
Pd (0.6681, 0.0048, 0.2771)
Pd (0.0000, 0.0000, 0.0000)
Pd (0.1697, 0.2500, 0.2770)
Bi (0.1681, 0.7500, 0.2831)
Bi (0.8319, 0.2500, 0.7169)

No. 20
## NiBPt (PBE)

Data for a relaxed NiBPt crystal.

Results
Uncorrected energy = -19.14 eV/cell
SG = No. 216

a b c (Å): 3.6388 3.6388 3.6388
angles (deg): 60.00 60.00 60.00
Fractional coordinates of all 3 atoms:
Ni (0.5000, 0.5000, 0.5000)
B (0.2500, 0.2500, 0.2500)
Pt (0.0000, 0.0000, 0.0000)

No. 21
## Pr2Si5Ni3 (PBE)

Data for a relaxed Pr2Si5Ni3 crystal.

Results
Uncorrected energy = -121.97 eV/cell
SG = No. 72

a b c (Å): 8.0337 8.0337 8.0337
angles (deg): 105.83 89.19 137.85
Fractional coordinates of all 20 atoms:
Pr (0.8699, 0.2609, 0.1309)
Pr (0.3699, 0.2391, 0.6090)
Pr (0.6301, 0.7609, 0.3910)
Pr (0.1301, 0.7391, 0.8691)
Si (0.5126, 0.7500, 0.7626)
Si (0.3908, 0.6463, 0.0371)
Si (0.7500, 0.2500, 0.5000)
Si (0.0126, 0.2500, 0.7626)
Si (0.9874, 0.7500, 0.2374)
Si (0.1092, 0.1463, 0.2555)
Si (0.2500, 0.7500, 0.5000)
Si (0.4874, 0.2500, 0.2374)
Si (0.8908, 0.8537, 0.7444)
Si (0.6092, 0.3537, 0.9629)
Ni (0.6325, 0.1108, 0.7433)
Ni (0.8675, 0.6108, 0.4784)
Ni (0.2500, 0.2500, 0.0000)
Ni (0.1325, 0.3892, 0.5216)
Ni (0.3675, 0.8892, 0.2567)
Ni (0.7500, 0.7500, 0.0000)

No. 22
## CsCuSnSe3 (PBE)

Data for a relaxed CsCuSnSe3 crystal.

Results
Energy above the lowest structure with this stoichiometry = 46 meV/atom
Uncorrected energy = -89.22 eV/cell
SG = No. 62

a b c (Å): 11.3661 3.9861 15.5955
angles (deg): 90.00 90.00 90.00
Fractional coordinates of all 24 atoms:
Se (0.5513, 0.5000, 0.6310)
Se (0.5613, 0.0000, 0.1389)
Se (0.0613, 0.0000, 0.3611)
Se (0.2565, 0.5000, 0.1980)
Se (0.7565, 0.5000, 0.3020)
Se (0.0513, 0.5000, 0.8690)
Se (0.4387, 0.5000, 0.8611)
Se (0.9487, 0.0000, 0.1310)
Se (0.7435, 0.0000, 0.8020)
Se (0.9387, 0.5000, 0.6389)
Se (0.4487, 0.0000, 0.3690)
Se (0.2435, 0.0000, 0.6980)
Sn (0.5302, 0.5000, 0.2603)
Sn (0.4698, 0.0000, 0.7397)
Sn (0.9698, 0.0000, 0.7603)
Sn (0.0302, 0.5000, 0.2397)
Cs (0.2496, 0.0000, 0.0071)
Cs (0.7504, 0.5000, 0.9929)
Cs (0.7496, 0.0000, 0.4929)
Cs (0.2504, 0.5000, 0.5071)
Cu (0.7617, 0.0000, 0.2079)
Cu (0.7383, 0.5000, 0.7079)
Cu (0.2383, 0.5000, 0.7921)
Cu (0.2617, 0.0000, 0.2921)

No. 23
## ZrTlAsO (PBE)

Data for a relaxed ZrTlAsO crystal.

Results
Energy above the lowest structure with this stoichiometry = 767 meV/atom
Uncorrected energy = -44.76 eV/cell
SG = No. 129

a b c (Å): 4.5002 4.5002 7.9178
angles (deg): 90.00 90.00 90.00
Fractional coordinates of all 8 atoms:
Zr (0.2500, 0.7500, 0.5000)
Zr (0.7500, 0.2500, 0.5000)
As (0.2500, 0.2500, 0.6805)
As (0.7500, 0.7500, 0.3195)
O (0.7500, 0.2500, 0.0000)
O (0.2500, 0.7500, 0.0000)
Tl (0.7500, 0.7500, 0.8830)
Tl (0.2500, 0.2500, 0.1170)

No. 24
## GdZnAg (PBE)

Data for a relaxed GdZnAg crystal.

Results
Formation energy = -0.095 eV per atom
Uncorrected energy = -9.03 eV/cell
SG = No. 216

a b c (Å): 4.6494 4.6494 4.6494
angles (deg): 60.00 60.00 60.00
Fractional coordinates of all 3 atoms:
Zn (0.0000, 0.0000, 0.0000)
Gd (0.7500, 0.7500, 0.7500)
Ag (0.2500, 0.2500, 0.2500)